Ga3WF | Alexandria via LeMat-Bulk | GGA+U | relaxed; calculated volume = 27.1 Å³ per atom; total energy = -3.26 eV per atom; space-group type = No. 221; energy above the lowest structure with this stoichiometry = 246 meV/atom
1.0
5.1389 0.0000 0.0000
0.0000 5.1389 0.0000
0.0000 0.0000 5.1389
Ga W F
3 1 1
direct
0.0000 0.5000 0.0000
0.0000 0.0000 0.5000
0.5000 0.0000 0.0000
0.0000 0.0000 0.0000
0.5000 0.5000 0.5000